No. 1
DFT (PBE) results for Cd4GaHg after structural relaxation.

Magnetization = 0.000 μB/atom
Offset from the most stable computed form = 8.7 meV/atom
VASP energy = -6.722 eV per formula unit
Formation energy = 0.04 eV/atom

Cell: 18.3051 5.3531 5.8077 Å, 90.00 104.02 90.00°
With the nearest neighbours (Å) after each atom.
Space group C2/c (No. 15)
One atom of each set of equivalent atoms:
Cd  0.0852  0.2488  0.3130 x8  1 Ga 2.95, 4 Cd 3.03-3.18, 4 Hg 3.07-3.29
Cd  0.1693  0.2509  0.8937 x8  4 Cd 2.91-3.18, 1 Hg 3.01, 3 Ga 3.01-3.05
Ga  0.2500  0.2500  0.5000 x4  8 Cd 2.95-3.05
Hg  0.0000  0.2512  0.7500 x4  10 Cd 3.01-3.29


No. 2
DFT (PBE) results for Cd2Ga2Hg after structural relaxation.

Magnetization = 0.000 μB/atom
Offset from the most stable computed form = 12.4 meV/atom
VASP energy = -7.840 eV per formula unit
Formation energy = 0.07 eV/atom

Cell: 4.1899 15.8079 3.3499 Å, 90.00 90.00 90.00°
With the nearest neighbours (Å) after each atom.
Space group Cmmm (No. 65)
One atom of each set of equivalent atoms:
Cd  0.0000  0.1108  0.0000 x4  4 Ga 3.01, 4 Hg 3.20, 2 Cd 3.35
Ga  0.0000  0.3025  0.5000 x4  2 Ga 2.67
Hg  0.0000  0.5000  0.5000 x2  2 Ga 3.12, 8 Cd 3.20, 2 Hg 3.35